Compound: AcLa4Pt4
Source: Alexandria
Functional: PBE-GGA
Structure: relaxed

Values from the calculation:
Space-group type   No. 87
Crystal system   tetragonal
Size of the total moment   0.0000 μB per atom
Formation energy from the elements   -1076 meV/atom

a = 5.975 Å, b = 7.435 Å, c = 7.435 Å
α = 80.73°, β = 66.31°, γ = 66.31°
Atoms (fractional coordinates):
Pt: 0.106 0.593 0.195
Pt: 0.699 0.195 0.407
Pt: 0.894 0.407 0.805
Pt: 0.301 0.805 0.593
La: 0.815 0.791 0.580
La: 0.395 0.420 0.791
La: 0.185 0.209 0.420
La: 0.605 0.580 0.209
Ac: 0.000 0.000 0.000

=====

Compound: Cd2Ag5Sn
Source: Alexandria
Functional: PBE-GGA
Structure: relaxed

Values from the calculation:
Space-group type   No. 8
Crystal system   monoclinic
Size of the total moment   0.0000 μB per atom
Formation energy from the elements   -14 meV/atom

a = 6.727 Å, b = 6.724 Å, c = 5.968 Å
α = 125.35°, β = 125.38°, γ = 89.55°
Atoms (fractional coordinates):
Ag: 0.715 0.250 0.946
Ag: 0.727 0.727 0.503
Ag: 0.728 0.729 0.011
Ag: 0.198 0.197 0.878
Ag: 0.249 0.714 0.944
Cd: 0.249 0.716 0.445
Cd: 0.716 0.249 0.446
Sn: 0.196 0.196 0.380

=====

Compound: LaPaIrO6
Source: Alexandria
Functional: PBE-GGA
Structure: relaxed

Values from the calculation:
Space-group type   No. 163
ΔE_f (raw)   -2.51 eV per atom
Crystal system   trigonal
Size of the total moment   0.1046 μB per atom

a = 5.551 Å, b = 5.551 Å, c = 9.691 Å
α = 90.00°, β = 90.00°, γ = 120.00°
Atoms (fractional coordinates):
La: 0.333 0.667 0.250
La: 0.667 0.333 0.750
O: 0.354 0.057 0.127
O: 0.646 0.704 0.627
O: 0.057 0.354 0.627
O: 0.704 0.646 0.127
O: 0.354 0.296 0.373
O: 0.057 0.704 0.873
O: 0.943 0.646 0.373
O: 0.704 0.057 0.373
O: 0.296 0.943 0.627
O: 0.943 0.296 0.127
O: 0.296 0.354 0.873
O: 0.646 0.943 0.873
Pa: 0.000 0.000 0.500
Pa: 0.000 0.000 0.000
Ir: 0.333 0.667 0.750
Ir: 0.667 0.333 0.250

=====

Compound: DyHgC2O8
Source: Alexandria
Functional: PBE-GGA
Structure: relaxed

Values from the calculation:
Space-group type   No. 164
ΔE_f (raw)   -1.09 eV per atom
Crystal system   trigonal
Size of the total moment   0.2514 μB per atom

a = 5.147 Å, b = 5.147 Å, c = 6.803 Å
α = 90.00°, β = 90.00°, γ = 120.00°
Atoms (fractional coordinates):
Dy: 0.000 0.000 0.000
O: 0.333 0.667 0.513
O: 0.186 0.373 0.780
O: 0.814 0.186 0.220
O: 0.627 0.814 0.780
O: 0.667 0.333 0.487
O: 0.186 0.814 0.780
O: 0.373 0.186 0.220
O: 0.814 0.627 0.220
Hg: 0.000 0.000 0.500
C: 0.333 0.667 0.715
C: 0.667 0.333 0.285

=====

Compound: PaNiTe2N
Source: Alexandria
Functional: PBE-GGA
Structure: relaxed

Values from the calculation:
Space-group type   No. 129
ΔE_f (raw)   -0.96 eV per atom
Crystal system   tetragonal
Size of the total moment   0.0000 μB per atom

a = 3.879 Å, b = 3.879 Å, c = 13.826 Å
α = 90.00°, β = 90.00°, γ = 90.00°
Atoms (fractional coordinates):
N: 0.500 0.500 0.500
N: 0.000 0.000 0.500
Te: 0.500 0.000 0.285
Te: 0.000 0.500 0.081
Te: 0.000 0.500 0.715
Te: 0.500 0.000 0.919
Pa: 0.000 0.500 0.413
Pa: 0.500 0.000 0.587
Ni: 0.000 0.500 0.899
Ni: 0.500 0.000 0.101

=====

Compound: Co2ReTe
Source: Alexandria
Functional: PBE-GGA
Structure: relaxed

Values from the calculation:
Space-group type   No. 122
ΔE_f (raw)   0.85 eV per atom
Crystal system   tetragonal
Size of the total moment   0.0000 μB per atom

a = 5.525 Å, b = 5.525 Å, c = 6.571 Å
α = 65.14°, β = 65.14°, γ = 90.00°
Atoms (fractional coordinates):
Co: 0.875 0.903 0.750
Co: 0.097 0.625 0.250
Co: 0.653 0.125 0.250
Co: 0.375 0.347 0.750
Te: 0.500 0.500 0.000
Te: 0.250 0.750 0.500
Re: 0.000 0.000 0.000
Re: 0.750 0.250 0.500

=====

Compound: YCdIn6
Source: Alexandria
Functional: PBE-GGA
Structure: relaxed

Values from the calculation:
Space-group type   No. 65
Crystal system   orthorhombic
Size of the total moment   0.0000 μB per atom
Formation energy from the elements   -143 meV/atom

a = 4.647 Å, b = 6.669 Å, c = 6.669 Å
α = 86.50°, β = 90.00°, γ = 90.00°
Atoms (fractional coordinates):
In: 0.500 0.000 0.500
In: 0.000 0.244 0.244
In: 0.000 0.756 0.756
In: 0.500 0.500 0.000
In: 0.000 0.261 0.739
In: 0.000 0.739 0.261
Y: 0.500 0.000 0.000
Cd: 0.500 0.500 0.500

=====

Compound: KCdP
Source: Alexandria
Functional: PBE-GGA
Structure: relaxed

Values from the calculation:
Space-group type   No. 8
Crystal system   monoclinic
Size of the total moment   0.0000 μB per atom
Formation energy from the elements   -84 meV/atom

a = 9.740 Å, b = 6.017 Å, c = 6.017 Å
α = 147.54°, β = 107.51°, γ = 72.49°
Atoms (fractional coordinates):
K: 0.719 0.651 0.349
K: 0.178 0.569 0.431
Cd: 0.001 0.880 0.120
Cd: 0.316 0.271 0.729
P: 0.518 0.400 0.600
P: 0.501 0.028 0.972

=====

Fermi-level density of states (states/eV/cell)
5.85 1.63 13.37 8.83 6.64 9.18 4.65 2.54